1.
## Li6NdB3O9 (SCAN)

Data for a PBEsol-optimized structure of Li6NdB3O9.

Results
VASP energy = -9.8583 eV/atom
formation energy without anion corrections = -2.6852 eV/atom
crystal system = monoclinic
theoretical density = 3.103 g/cm3

Structure (CIF):
```
data_Li6NdB3O9
_space_group_name_H-M_alt 'P 1'
_space_group_IT_number 1
_cell_length_a 6.716
_cell_length_b 7.261
_cell_length_c 16.496
_cell_angle_alpha 90.00
_cell_angle_beta 90.00
_cell_angle_gamma 105.41
loop_
_space_group_symop_operation_xyz
'x,y,z'
loop_
_atom_site_label
_atom_site_type_symbol
_atom_site_fract_x
_atom_site_fract_y
_atom_site_fract_z
Li1 Li 0.324 0.927 0.997
Li2 Li 0.176 0.073 0.497
Li3 Li 0.676 0.073 0.003
Li4 Li 0.824 0.927 0.503
Li5 Li 0.830 0.455 0.030
Li6 Li 0.670 0.545 0.530
Li7 Li 0.170 0.545 0.970
Li8 Li 0.330 0.455 0.470
Li9 Li 0.633 0.287 0.294
Li10 Li 0.867 0.713 0.794
Li11 Li 0.367 0.713 0.706
Li12 Li 0.133 0.287 0.206
Li13 Li 0.555 0.693 0.034
Li14 Li 0.945 0.307 0.534
Li15 Li 0.445 0.307 0.966
Li16 Li 0.055 0.693 0.466
Li17 Li 0.548 0.557 0.204
Li18 Li 0.952 0.443 0.704
Li19 Li 0.452 0.443 0.796
Li20 Li 0.048 0.557 0.296
Li21 Li 0.581 0.139 0.449
Li22 Li 0.919 0.861 0.949
Li23 Li 0.419 0.861 0.551
Li24 Li 0.081 0.139 0.051
Nd1 Nd 0.348 0.919 0.189
Nd2 Nd 0.152 0.081 0.689
Nd3 Nd 0.652 0.081 0.811
Nd4 Nd 0.848 0.919 0.311
B1 B 0.188 0.556 0.113
B2 B 0.312 0.444 0.613
B3 B 0.812 0.444 0.887
B4 B 0.688 0.556 0.387
B5 B 0.000 0.289 0.381
B6 B 0.500 0.711 0.881
B7 B 0.000 0.711 0.619
B8 B 0.500 0.289 0.119
B9 B 0.338 0.916 0.366
B10 B 0.162 0.084 0.866
B11 B 0.662 0.084 0.634
B12 B 0.838 0.916 0.134
O1 O 0.076 0.392 0.076
O2 O 0.424 0.608 0.576
O3 O 0.924 0.608 0.924
O4 O 0.576 0.392 0.424
O5 O 0.224 0.570 0.196
O6 O 0.276 0.430 0.696
O7 O 0.776 0.430 0.804
O8 O 0.724 0.570 0.304
O9 O 0.771 0.719 0.433
O10 O 0.729 0.281 0.933
O11 O 0.229 0.281 0.567
O12 O 0.271 0.719 0.067
O13 O 0.087 0.466 0.414
O14 O 0.413 0.534 0.914
O15 O 0.913 0.534 0.586
O16 O 0.587 0.466 0.086
O17 O 0.447 0.266 0.201
O18 O 0.053 0.734 0.701
O19 O 0.553 0.734 0.799
O20 O 0.947 0.266 0.299
O21 O 0.960 0.124 0.429
O22 O 0.540 0.876 0.929
O23 O 0.040 0.876 0.571
O24 O 0.460 0.124 0.071
O25 O 0.325 0.916 0.448
O26 O 0.175 0.084 0.948
O27 O 0.675 0.084 0.552
O28 O 0.825 0.916 0.052
O29 O 0.167 0.841 0.317
O30 O 0.333 0.159 0.817
O31 O 0.833 0.159 0.683
O32 O 0.667 0.841 0.183
O33 O 0.025 0.000 0.173
O34 O 0.475 0.000 0.673
O35 O 0.975 0.000 0.827
O36 O 0.525 0.000 0.327
```



2.
## Li3Nd2B3O9 (SCAN)

Data for a PBEsol-optimized structure of Li3Nd2B3O9.

Results
VASP energy = -13.1397 eV/atom
formation energy without anion corrections = -2.9807 eV/atom
crystal system = monoclinic
theoretical density = 4.685 g/cm3

Structure (CIF):
```
data_Li3Nd2B3O9
_space_group_name_H-M_alt 'P 1'
_space_group_IT_number 1
_cell_length_a 5.714
_cell_length_b 8.803
_cell_length_c 14.095
_cell_angle_alpha 90.00
_cell_angle_beta 90.00
_cell_angle_gamma 103.76
loop_
_space_group_symop_operation_xyz
'x,y,z'
loop_
_atom_site_label
_atom_site_type_symbol
_atom_site_fract_x
_atom_site_fract_y
_atom_site_fract_z
Li1 Li 0.071 0.494 0.665
Li2 Li 0.840 0.792 0.888
Li3 Li 0.660 0.708 0.388
Li4 Li 0.160 0.208 0.112
Li5 Li 0.340 0.292 0.612
Li6 Li 0.571 0.994 0.835
Li7 Li 0.929 0.506 0.335
Li8 Li 0.429 0.006 0.165
Li9 Li 0.706 0.291 0.716
Li10 Li 0.794 0.209 0.216
Li11 Li 0.294 0.709 0.284
Li12 Li 0.206 0.791 0.784
Nd1 Nd 0.188 0.841 0.502
Nd2 Nd 0.312 0.659 0.002
Nd3 Nd 0.812 0.159 0.498
Nd4 Nd 0.688 0.341 0.998
Nd5 Nd 0.634 0.692 0.664
Nd6 Nd 0.866 0.808 0.164
Nd7 Nd 0.366 0.308 0.336
Nd8 Nd 0.134 0.192 0.836
B1 B 0.751 0.013 0.015
B2 B 0.405 0.519 0.823
B3 B 0.095 0.981 0.323
B4 B 0.595 0.481 0.177
B5 B 0.905 0.019 0.677
B6 B 0.749 0.487 0.515
B7 B 0.251 0.513 0.485
B8 B 0.249 0.987 0.985
B9 B 0.911 0.528 0.837
B10 B 0.589 0.972 0.337
B11 B 0.089 0.472 0.163
B12 B 0.411 0.028 0.663
O1 O 0.226 0.919 0.897
O2 O 0.196 0.352 0.493
O3 O 0.696 0.852 0.007
O4 O 0.804 0.648 0.507
O5 O 0.726 0.419 0.603
O6 O 0.304 0.148 0.993
O7 O 0.774 0.081 0.103
O8 O 0.274 0.581 0.397
O9 O 0.862 0.366 0.833
O10 O 0.638 0.134 0.333
O11 O 0.138 0.634 0.167
O12 O 0.362 0.866 0.667
O13 O 0.927 0.594 0.927
O14 O 0.573 0.906 0.427
O15 O 0.073 0.406 0.073
O16 O 0.427 0.094 0.573
O17 O 0.939 0.620 0.757
O18 O 0.561 0.880 0.257
O19 O 0.061 0.380 0.243
O20 O 0.439 0.120 0.743
O21 O 0.387 0.431 0.906
O22 O 0.113 0.069 0.406
O23 O 0.613 0.569 0.094
O24 O 0.887 0.931 0.594
O25 O 0.353 0.444 0.737
O26 O 0.147 0.056 0.237
O27 O 0.647 0.556 0.263
O28 O 0.283 0.605 0.566
O29 O 0.466 0.680 0.831
O30 O 0.034 0.820 0.331
O31 O 0.534 0.320 0.169
O32 O 0.966 0.180 0.669
O33 O 0.783 0.105 0.934
O34 O 0.717 0.395 0.434
O35 O 0.217 0.895 0.066
O36 O 0.853 0.944 0.763
```